Compound: Ce2BeInPd6
Source: the Alexandria database
Functional: GGA-PBE
Structure: relaxed

The structure belongs to space group P-1 (No. 2); the cell edges are 5.828, 5.833 and 7.647 Å and the angles 68.22°, 67.97° and 60.04°. The asymmetric unit holds Ce at (0.246, 0.243, 0.260), Be at (0.500, 0.500, 0.500), In at (0.000, 0.000, 0.000), Pd at (0.216, 0.729, 0.316), Pd at (0.266, 0.269, 0.690) and Pd at (0.268, 0.790, 0.681).

Its total magnetization is 1.56 Bohr magnetons per cell. The value obtained for the energy of formation is -0.5644 eV/atom.